w) Below is an optimized crystal structure of Zn2PdPt4, with properties calculated at the PBE level.

Summary:
Its density of states at the Fermi level is 18.8 states/eV/cell. For the calculated density, the calculation gives 15.9 Mg/m³.

Cell lengths 2.8131, 2.8131, 46.3976 Å; angles 90.00, 90.00, 120.00 degrees
With the nearest neighbours (Å) after each atom.
Space group R-3m (No. 166, hexagonal axes)
Asymmetric unit:
Zn: 0.0000 0.0000 0.0954 (multiplicity 6)  6 Pt 2.64-2.65, 6 Zn 2.81
Pd: 0.0000 0.0000 0.0000 (multiplicity 3)  6 Pd 2.81, 6 Pt 2.85
Pt: 0.0000 0.0000 0.1930 (multiplicity 6)  3 Zn 2.64, 9 Pt 2.81-2.93
Pt: 0.0000 0.0000 0.3837 (multiplicity 6)  3 Zn 2.65, 6 Pt 2.81, 3 Pd 2.85

=====

x) Below is an optimized crystal structure of Zn2PdPt4, with properties calculated at the PBE level.

Summary:
Its density of states at the Fermi level is 16.4 states/eV/cell. For the calculated density, the calculation gives 14.1 Mg/m³.

Cell lengths 3.5514, 3.5514, 19.0578 Å; angles 90.00, 90.00, 90.00 degrees
With the nearest neighbours (Å) after each atom.
Space group I4/mmm (No. 139)
Asymmetric unit:
Zn: 0.0000 0.0000 0.0807 (multiplicity 4)  4 Pt 2.74, 4 Pd 2.94
Pd: 0.0000 0.0000 0.5000 (multiplicity 2)  2 Pt 2.64, 8 Zn 2.94
Pt: 0.0000 0.0000 0.3617 (multiplicity 4)  1 Pd 2.64, 4 Zn 2.74, 4 Pt 2.77
Pt: 0.0000 0.5000 0.2500 (multiplicity 4)  8 Pt 2.51-2.77

=====

Stability comparison, relative energies in eV/atom: w) 0.000; x) 0.340

=====

w) Below is an optimized crystal structure of Zn2Pd2Pt3, with properties calculated at the PBE level.

Summary:
Its density of states at the Fermi level is 6.6 states/eV/cell. For the calculated density, the calculation gives 14.7 Mg/m³.

Cell lengths 8.8527, 3.9373, 6.0628 Å; angles 90.00, 96.12, 90.00 degrees
With the nearest neighbours (Å) after each atom.
Space group C2/m (No. 12)
Asymmetric unit:
Zn: 0.1385 0.0000 0.4217 (multiplicity 4)  4 Pt 2.67-2.76, 5 Pd 2.69-2.81, 3 Zn 2.72-2.88
Pd: 0.0798 0.5000 0.7048 (multiplicity 4)  5 Zn 2.69-2.81, 1 Pd 2.72, 6 Pt 2.77-2.85
Pt: 0.0000 0.0000 0.0000 (multiplicity 2)  2 Zn 2.72, 4 Pd 2.80, 6 Pt 2.81
Pt: 0.2116 0.5000 0.1553 (multiplicity 4)  3 Zn 2.67-2.76, 4 Pd 2.77-2.85, 5 Pt 2.81-2.86

=====

x) Below is an optimized crystal structure of Zn2Pd2Pt3, with properties calculated at the PBE level.

Summary:
Its density of states at the Fermi level is 14.8 states/eV/cell. For the calculated density, the calculation gives 14.5 Mg/m³.

Cell lengths 2.7547, 4.1508, 18.6538 Å; angles 90.00, 90.00, 90.00 degrees
With the nearest neighbours (Å) after each atom.
Space group Immm (No. 71)
Asymmetric unit:
Zn: 0.0000 0.0000 0.1500 (multiplicity 4)  2 Pd 2.54, 5 Pt 2.66-2.71, 2 Zn 2.75
Pd: 0.0000 0.5000 0.0718 (multiplicity 4)  2 Zn 2.54, 3 Pd 2.68-2.75, 4 Pt 2.83
Pt: 0.0000 0.0000 0.2923 (multiplicity 4)  5 Zn 2.66-2.71, 6 Pt 2.75-2.95, 2 Pd 2.88
Pt: 0.0000 0.5000 0.5000 (multiplicity 2)  2 Pt 2.75, 8 Pd 2.83

=====

Stability comparison, relative energies in eV/atom: w) 0.000; x) 0.073